## K3NaSn (PBE-GGA)

Data for crystalline K3NaSn at its relaxed geometry.

Crystal system: cubic
D(E_F) in states/eV/f.u.: 5.3
ΔH_f (0 K) in meV/atom: 117.0

Geometry as CIF:
```
data_K3NaSn
_chemical_formula_sum 'K3 Na1 Sn1'
_symmetry_space_group_name_H-M 'P m -3 m'
_symmetry_Int_Tables_number 221
_symmetry_space_group_name_Hall '-P 4 2 3'
_cell_length_a 6.8565
_cell_length_b 6.8565
_cell_length_c 6.8565
_cell_angle_alpha 90.00
_cell_angle_beta 90.00
_cell_angle_gamma 90.00
loop_
_atom_site_label
_atom_site_fract_x
_atom_site_fract_y
_atom_site_fract_z
K1 0.0000 0.0000 0.5000
Na1 0.5000 0.5000 0.5000
Sn1 0.0000 0.0000 0.0000
```

---

## KNa2Sn (PBE-GGA)

Data for crystalline KNa2Sn at its relaxed geometry.

Crystal system: tetragonal
D(E_F) in states/eV/f.u.: 2.0
ΔH_f (0 K) in meV/atom: -31.1

Geometry as CIF:
```
data_KNa2Sn
_chemical_formula_sum 'K1 Na2 Sn1'
_symmetry_space_group_name_H-M 'P 4/m m m'
_symmetry_Int_Tables_number 123
_symmetry_space_group_name_Hall '-P 4 2'
_cell_length_a 5.5991
_cell_length_b 5.5991
_cell_length_c 4.1903
_cell_angle_alpha 90.00
_cell_angle_beta 90.00
_cell_angle_gamma 90.00
loop_
_atom_site_label
_atom_site_fract_x
_atom_site_fract_y
_atom_site_fract_z
K1 0.0000 0.0000 0.0000
Na1 0.0000 0.5000 0.5000
Sn1 0.5000 0.5000 0.0000
```

---

## KNaSn4 (PBE-GGA)

Data for crystalline KNaSn4 at its relaxed geometry.

Crystal system: orthorhombic
D(E_F) in states/eV/f.u.: 2.9
ΔH_f (0 K) in meV/atom: -164.3

Geometry as CIF:
```
data_KNaSn4
_chemical_formula_sum 'K2 Na2 Sn8'
_symmetry_space_group_name_H-M 'I m m 2'
_symmetry_Int_Tables_number 44
_symmetry_space_group_name_Hall 'I 2 -2'
_cell_length_a 5.1869
_cell_length_b 7.8536
_cell_length_c 9.2676
_cell_angle_alpha 90.00
_cell_angle_beta 90.00
_cell_angle_gamma 90.00
loop_
_atom_site_label
_atom_site_fract_x
_atom_site_fract_y
_atom_site_fract_z
K1 0.0000 0.0000 0.0000
Na1 0.0000 0.5000 0.8735
Sn1 0.0000 0.1876 0.5944
Sn2 0.0000 0.3079 0.2795
```

---

What did the third record say?
## KNaSn4 (PBE-GGA)

Data for crystalline KNaSn4 at its relaxed geometry.

Crystal system: orthorhombic
D(E_F) in states/eV/f.u.: 2.9
ΔH_f (0 K) in meV/atom: -164.3

Geometry as CIF:
```
data_KNaSn4
_chemical_formula_sum 'K2 Na2 Sn8'
_symmetry_space_group_name_H-M 'I m m 2'
_symmetry_Int_Tables_number 44
_symmetry_space_group_name_Hall 'I 2 -2'
_cell_length_a 5.1869
_cell_length_b 7.8536
_cell_length_c 9.2676
_cell_angle_alpha 90.00
_cell_angle_beta 90.00
_cell_angle_gamma 90.00
loop_
_atom_site_label
_atom_site_fract_x
_atom_site_fract_y
_atom_site_fract_z
K1 0.0000 0.0000 0.0000
Na1 0.0000 0.5000 0.8735
Sn1 0.0000 0.1876 0.5944
Sn2 0.0000 0.3079 0.2795
```